Record 1
Here is a relaxed structure of MgRu4W from Alexandria. Energies are from GGA-PBE.

## Properties
For the energy relative to the elements, the calculation gives 25.6 kJ per mole of atoms. The total magnetization is 0.000 μB/f.u.

```
MgRu4W
1.0
0.0000 3.5942 3.5942
3.5942 0.0000 3.5942
3.5942 3.5942 0.0000
Ru W Mg
4 1 1
Cartesian
2.6928 4.4955 2.6928
4.4955 2.6928 2.6928
2.6928 2.6928 4.4955
4.4955 4.4955 4.4955
1.7971 1.7971 1.7971
0.0000 0.0000 0.0000
```


Record 2
Here is a relaxed structure of TlCoS2 from Alexandria. Energies are from GGA-PBE.

## Properties
For the raw formation energy, the calculation gives 0.529 eV/atom. The total magnetization is 2.656 μB/f.u.

```
TlCoS2
1.0
-2.6500 -3.5877 1.4668
-4.0455 -0.9736 -2.1753
-0.3780 -3.8694 -2.6325
S Tl Co
2 1 1
Cartesian
-1.7684 -2.1077 -0.8353
-5.3051 -6.3231 -2.5058
-3.5367 -4.2154 -1.6705
0.0000 0.0000 0.0000
```


Record 3
Here is a relaxed structure of MnZnNiPt from Alexandria. Energies are from GGA-PBE.

## Properties
For the energy relative to the elements, the calculation gives -33.1 kJ per mole of atoms. The total magnetization is 4.142 μB/f.u.

```
MnZnNiPt
1.0
-0.9433 2.4461 -2.9253
-3.7038 -1.3045 0.1023
1.5132 1.9134 3.7501
Zn Pt Mn Ni
1 1 1 1
Cartesian
-0.8768 2.4652 -0.2934
-2.3236 0.5708 -1.4115
-2.2571 0.5899 1.2204
0.0000 0.0000 0.0000
```